Entry 1:
Density functional theory data (PBE) for an optimized crystal structure of ZnCuAg2F6.

Output
Its crystal system is monoclinic. For the formation energy (no corrections), the calculation gives -1.53 eV/atom.

CIF file:
```
data_ZnCuAg2F6
_chemical_formula_sum 'Zn2 Cu2 Ag4 F12'
_cell_length_a 5.533
_cell_length_b 5.586
_cell_length_c 10.179
_cell_angle_alpha 90.00
_cell_angle_beta 122.38
_cell_angle_gamma 90.00
_symmetry_space_group_name_H-M 'P 1 21/c 1'
_symmetry_Int_Tables_number 14
loop_
_symmetry_equiv_pos_as_xyz
'x,y,z'
'-x,-y,-z'
'-x,y+1/2,-z+1/2'
'x,-y+1/2,z+1/2'
loop_
_atom_site_label
_atom_site_fract_x
_atom_site_fract_y
_atom_site_fract_z
Zn1 0.000 0.000 0.000
Cu1 0.500 0.000 0.500
Ag1 0.262 0.037 0.751
F1 0.144 0.019 0.226
F2 0.264 0.700 0.045
F3 0.347 0.219 0.044
```

---

Entry 2:
Density functional theory data (PBE) for an optimized crystal structure of FeCuAg.

Output
For the density of states at the Fermi level, the calculation gives 0.402 states/eV per atom. Its crystal system is tetragonal. Its energy above the most stable polymorph in this dataset is 96.6 meV/atom.

CIF file:
```
data_FeCuAg
_chemical_formula_sum 'Fe2 Cu2 Ag2'
_cell_length_a 2.704
_cell_length_b 2.704
_cell_length_c 11.550
_cell_angle_alpha 90.00
_cell_angle_beta 90.00
_cell_angle_gamma 90.00
_symmetry_space_group_name_H-M 'I 4 m m'
_symmetry_Int_Tables_number 107
_symmetry_space_group_name_Hall 'I 4 -2'
loop_
_atom_site_label
_atom_site_fract_x
_atom_site_fract_y
_atom_site_fract_z
Fe1 0.000 0.000 0.000
Cu1 0.000 0.000 0.354
Ag1 0.000 0.000 0.679
```

---

Entry 3:
Density functional theory data (PBE) for an optimized crystal structure of Fe2CuAg.

Output
For the density of states at the Fermi level, the calculation gives 0.825 states/eV per atom. Its crystal system is orthorhombic. Its energy above the most stable polymorph in this dataset is 0.0 meV/atom.

CIF file:
```
data_Fe2CuAg
_chemical_formula_sum 'Fe4 Cu2 Ag2'
_cell_length_a 3.154
_cell_length_b 4.180
_cell_length_c 8.233
_cell_angle_alpha 90.00
_cell_angle_beta 90.00
_cell_angle_gamma 90.00
_symmetry_space_group_name_H-M 'C m m 2'
_symmetry_Int_Tables_number 35
loop_
_symmetry_equiv_pos_as_xyz
'x,y,z'
'-x,-y,z'
'-x,y,z'
'x,-y,z'
'x+1/2,y+1/2,z'
'-x+1/2,-y+1/2,z'
'-x+1/2,y+1/2,z'
'x+1/2,-y+1/2,z'
loop_
_atom_site_label
_atom_site_fract_x
_atom_site_fract_y
_atom_site_fract_z
Fe1 0.000 0.000 0.000
Fe2 0.000 0.500 0.223
Cu1 0.000 0.000 0.458
Ag1 0.000 0.500 0.726
```

---

Entry 4:
Density functional theory data (PBE) for an optimized crystal structure of Fe2CuAg.

Output
For the density of states at the Fermi level, the calculation gives 1.125 states/eV per atom. Its crystal system is cubic. Its energy above the most stable polymorph in this dataset is 238.4 meV/atom.

CIF file:
```
data_Fe2CuAg
_chemical_formula_sum 'Fe8 Cu4 Ag4'
_cell_length_a 6.049
_cell_length_b 6.049
_cell_length_c 6.049
_cell_angle_alpha 90.00
_cell_angle_beta 90.00
_cell_angle_gamma 90.00
_symmetry_space_group_name_H-M 'F m -3 m'
_symmetry_Int_Tables_number 225
_symmetry_space_group_name_Hall '-F 4 2 3'
loop_
_atom_site_label
_atom_site_fract_x
_atom_site_fract_y
_atom_site_fract_z
Fe1 0.250 0.250 0.250
Cu1 0.000 0.000 0.000
Ag1 0.000 0.000 0.500
```

---

Entry 5:
Density functional theory data (PBE) for an optimized crystal structure of FeCu3Ag.

Output
For the density of states at the Fermi level, the calculation gives 0.565 states/eV per atom. Its crystal system is cubic. Its energy above the most stable polymorph in this dataset is 0.0 meV/atom.

CIF file:
```
data_FeCu3Ag
_chemical_formula_sum 'Fe1 Cu3 Ag1'
_cell_length_a 4.445
_cell_length_b 4.445
_cell_length_c 4.445
_cell_angle_alpha 90.00
_cell_angle_beta 90.00
_cell_angle_gamma 90.00
_symmetry_space_group_name_H-M 'P m -3 m'
_symmetry_Int_Tables_number 221
_symmetry_space_group_name_Hall '-P 4 2 3'
loop_
_atom_site_label
_atom_site_fract_x
_atom_site_fract_y
_atom_site_fract_z
Fe1 0.000 0.000 0.000
Cu1 0.000 0.000 0.500
Ag1 0.500 0.500 0.500
```

---

Entry 6:
Density functional theory data (PBE) for an optimized crystal structure of Fe2CuAg.

Output
For the density of states at the Fermi level, the calculation gives 0.920 states/eV per atom. Its crystal system is tetragonal. Its energy above the most stable polymorph in this dataset is 84.9 meV/atom.

CIF file:
```
data_Fe2CuAg
_chemical_formula_sum 'Fe2 Cu1 Ag1'
_cell_length_a 2.652
_cell_length_b 2.652
_cell_length_c 7.712
_cell_angle_alpha 90.00
_cell_angle_beta 90.00
_cell_angle_gamma 90.00
_symmetry_space_group_name_H-M 'P 4/m m m'
_symmetry_Int_Tables_number 123
_symmetry_space_group_name_Hall '-P 4 2'
loop_
_atom_site_label
_atom_site_fract_x
_atom_site_fract_y
_atom_site_fract_z
Fe1 0.000 0.000 0.227
Cu1 0.500 0.500 0.000
Ag1 0.500 0.500 0.500
```

---

Please write out number 2 again, unchanged.
Density functional theory data (PBE) for an optimized crystal structure of FeCuAg.

Output
For the density of states at the Fermi level, the calculation gives 0.402 states/eV per atom. Its crystal system is tetragonal. Its energy above the most stable polymorph in this dataset is 96.6 meV/atom.

CIF file:
```
data_FeCuAg
_chemical_formula_sum 'Fe2 Cu2 Ag2'
_cell_length_a 2.704
_cell_length_b 2.704
_cell_length_c 11.550
_cell_angle_alpha 90.00
_cell_angle_beta 90.00
_cell_angle_gamma 90.00
_symmetry_space_group_name_H-M 'I 4 m m'
_symmetry_Int_Tables_number 107
_symmetry_space_group_name_Hall 'I 4 -2'
loop_
_atom_site_label
_atom_site_fract_x
_atom_site_fract_y
_atom_site_fract_z
Fe1 0.000 0.000 0.000
Cu1 0.000 0.000 0.354
Ag1 0.000 0.000 0.679
```